# NaHoFeSe3 | OQMD | PBE | relaxed
data_NaHoFeSe3
_chemical_formula_sum 'Na4 Ho4 Fe4 Se12'
_cell_length_a 10.7366
_cell_length_b 4.0369
_cell_length_c 13.4680
_cell_angle_alpha 90.00
_cell_angle_beta 90.00
_cell_angle_gamma 90.00
_symmetry_space_group_name_H-M 'P n m a'
_symmetry_Int_Tables_number 62
_symmetry_space_group_name_Hall '-P 2ac 2n'
loop_
_atom_site_label
_atom_site_fract_x
_atom_site_fract_y
_atom_site_fract_z
Na1 0.2174 0.2500 0.0042
Ho1 0.0156 0.7500 0.7414
Fe1 0.2351 0.7500 0.2210
Se1 0.0504 0.7500 0.1188
Se2 0.0923 0.2500 0.6068
Se3 0.2378 0.2500 0.3293
# **Distance to the lowest polymorph of the same formula**: 0.16 eV per formula unit
# **Density**: 5.47 Mg/m³
# **Uncorrected energy**: -5.23 eV/atom

=====

# NaHoFeSe3 | OQMD | PBE | relaxed
data_NaHoFeSe3
_chemical_formula_sum 'Na4 Ho4 Fe4 Se12'
_cell_length_a 13.7830
_cell_length_b 3.9722
_cell_length_c 10.9672
_cell_angle_alpha 90.00
_cell_angle_beta 90.00
_cell_angle_gamma 90.00
_symmetry_space_group_name_H-M 'P n m a'
_symmetry_Int_Tables_number 62
_symmetry_space_group_name_Hall '-P 2ac 2n'
loop_
_atom_site_label
_atom_site_fract_x
_atom_site_fract_y
_atom_site_fract_z
Na1 0.2290 0.2500 0.0510
Ho1 0.0144 0.2500 0.3419
Fe1 0.0086 0.7500 0.0801
Se1 0.0996 0.7500 0.8858
Se2 0.1125 0.2500 0.5668
Se3 0.1346 0.7500 0.2342
# **Distance to the lowest polymorph of the same formula**: 0.00 eV per formula unit
# **Density**: 5.32 Mg/m³
# **Uncorrected energy**: -5.25 eV/atom

=====

What did the second record say?
# NaHoFeSe3 | OQMD | PBE | relaxed
data_NaHoFeSe3
_chemical_formula_sum 'Na4 Ho4 Fe4 Se12'
_cell_length_a 13.7830
_cell_length_b 3.9722
_cell_length_c 10.9672
_cell_angle_alpha 90.00
_cell_angle_beta 90.00
_cell_angle_gamma 90.00
_symmetry_space_group_name_H-M 'P n m a'
_symmetry_Int_Tables_number 62
_symmetry_space_group_name_Hall '-P 2ac 2n'
loop_
_atom_site_label
_atom_site_fract_x
_atom_site_fract_y
_atom_site_fract_z
Na1 0.2290 0.2500 0.0510
Ho1 0.0144 0.2500 0.3419
Fe1 0.0086 0.7500 0.0801
Se1 0.0996 0.7500 0.8858
Se2 0.1125 0.2500 0.5668
Se3 0.1346 0.7500 0.2342
# **Distance to the lowest polymorph of the same formula**: 0.00 eV per formula unit
# **Density**: 5.32 Mg/m³
# **Uncorrected energy**: -5.25 eV/atom

=====

> Which formula does entry 1 have?

NaHoFeSe3